Entry 1:
ZrGaAu3 | PBE-GGA | optimized geometry

```
ZrGaAu3
1.0
-2.3618 4.7559 -0.0173
-4.7338 -2.3527 -0.5023
-0.4576 -0.2080 5.2862
Au Zr Ga
3 1 1
Cartesian
-0.2288 -0.1040 2.6431
-1.1809 2.3779 -0.0087
-2.3669 -1.1764 -0.2512
0.0000 0.0000 0.0000
-3.7766 1.0976 2.3833
```

Calculated values
Energy above the most stable polymorph in this dataset: 836.3 meV per atom
Energy relative to the elements: 0.560 eV/atom
Mass density: 8.34 g/cm³

=====

Entry 2:
Li2AgOs | PBE-GGA | optimized geometry

```
Li2AgOs
1.0
-3.7603 1.1644 3.0072
2.2941 -4.1198 1.5175
1.5806 1.4074 1.4314
Li Ag Os
2 1 1
Cartesian
0.0000 0.0000 0.0000
-0.7331 -1.4777 2.2624
1.9373 -1.3562 1.4745
-1.0898 1.2859 2.2193
```

Calculated values
Energy above the most stable polymorph in this dataset: 182.9 meV per atom
Energy relative to the elements: 0.261 eV/atom
Mass density: 8.86 g/cm³

=====

Entry 3:
CaCo2Hg | PBE-GGA | optimized geometry

```
CaCo2Hg
1.0
-2.5584 4.3781 -1.6712
-1.2908 -0.1421 -5.1788
-0.7156 -2.6545 4.5768
Co Hg Ca
2 1 1
Cartesian
-2.7395 2.0751 -0.5092
-3.6553 4.0227 -6.5050
-2.0198 2.2228 -3.5944
-1.9240 -0.3850 -1.9395
```

Calculated values
Energy relative to the elements: 0.244 eV/atom
Mass density: 8.11 g/cm³

=====

Entry 4:
Al2ZnAs2 | PBE-GGA | optimized geometry

```
Al2ZnAs2
1.0
-2.8384 2.1755 1.9030
-2.8484 -1.6526 -2.3592
-3.7416 -5.2142 4.6919
As Zn Al
2 1 2
Cartesian
-6.3252 -3.3694 3.0410
-3.1031 -1.3220 1.1947
0.0000 0.0000 0.0000
-4.7167 -3.3027 1.0523
-4.7117 -1.3887 3.1834
```

Calculated values
Energy relative to the elements: -0.032 eV/atom
Mass density: 3.67 g/cm³

=====

| no. | Fermi-level density of states (states/eV/cell) |
| --- | --- |
| 1 | 4.55 |
| 2 | 4.00 |
| 3 | 3.53 |
| 4 | 0.21 |